# 1
A relaxed structure of ErTh3Zn4, computed with GGA-PBE.

Computed properties:
Magnetization ... 0.00 μB per formula unit
Calculated density ... 9.69 Mg/m³
ΔH_f (0 K) ... -0.21 eV/atom
Space group ... No. 166

Unit cell a=8.9300 b=8.9300 c=8.9300 alpha=33.46 beta=33.46 gamma=33.46
Sites, in units of the cell vectors:
1 Er 0.0000 0.0000 0.0000
2 Th 0.2493 0.2493 0.2493
3 Th 0.5000 0.5000 0.5000
4 Th 0.7507 0.7507 0.7507
5 Zn 0.1222 0.1222 0.1222
6 Zn 0.3724 0.3724 0.3724
7 Zn 0.6276 0.6276 0.6276
8 Zn 0.8778 0.8778 0.8778

# 2
A relaxed structure of CaNpPdSe3, computed with GGA-PBE.

Computed properties:
Magnetization ... 3.43 μB per formula unit
Calculated density ... 7.02 Mg/m³
Uncorrected formation energy ... -1.197 eV per atom
Space group ... No. 11

Unit cell a=8.2626 b=4.0663 c=9.0071 alpha=90.00 beta=104.23 gamma=90.00
Sites, in units of the cell vectors:
1 Ca 0.1906 0.2500 0.2363
2 Ca 0.8094 0.7500 0.7637
3 Np 0.3184 0.7500 0.8265
4 Np 0.6816 0.2500 0.1735
5 Pd 0.1101 0.2500 0.5574
6 Pd 0.8899 0.7500 0.4426
7 Se 0.0864 0.2500 0.8579
8 Se 0.2686 0.7500 0.5107
9 Se 0.4279 0.7500 0.1571
10 Se 0.5721 0.2500 0.8429
11 Se 0.7314 0.2500 0.4893
12 Se 0.9136 0.7500 0.1421

# 3
A relaxed structure of Pr2AlZn3Cu12, computed with GGA-PBE.

Computed properties:
Magnetization ... 0.00 μB per formula unit
Calculated density ... 6.17 Mg/m³
ΔH_f (0 K) ... 0.23 eV/atom
Space group ... No. 166

Unit cell a=7.5636 b=7.5636 c=7.5636 alpha=65.25 beta=65.25 gamma=65.25
Sites, in units of the cell vectors:
1 Pr 0.1011 0.1011 0.1011
2 Pr 0.8989 0.8989 0.8989
3 Al 0.5000 0.5000 0.5000
4 Zn 0.0000 0.5000 0.5000
5 Zn 0.5000 0.0000 0.5000
6 Zn 0.5000 0.5000 0.0000
7 Cu 0.1422 0.1422 0.4779
8 Cu 0.1422 0.4779 0.1422
9 Cu 0.1498 0.6355 0.6355
10 Cu 0.3645 0.3645 0.8502
11 Cu 0.3645 0.8502 0.3645
12 Cu 0.4779 0.1422 0.1422
13 Cu 0.5221 0.8578 0.8578
14 Cu 0.6355 0.1498 0.6355
15 Cu 0.6355 0.6355 0.1498
16 Cu 0.8502 0.3645 0.3645
17 Cu 0.8578 0.5221 0.8578
18 Cu 0.8578 0.8578 0.5221

# 4
A relaxed structure of Ce7Al2Ru2, computed with GGA-PBE.

Computed properties:
Magnetization ... 2.23 μB per formula unit
Calculated density ... 7.18 Mg/m³
ΔH_f (0 K) ... -0.15 eV/atom
Space group ... No. 65

Unit cell a=6.7253 b=6.7253 c=6.6247 alpha=90.00 beta=90.00 gamma=107.27
Sites, in units of the cell vectors:
1 Ce 0.0000 0.0000 0.0000
2 Ce 0.0000 0.5000 0.2769
3 Ce 0.0000 0.5000 0.7231
4 Ce 0.5000 0.0000 0.2769
5 Ce 0.5000 0.0000 0.7231
6 Ce 0.5000 0.5000 0.2876
7 Ce 0.5000 0.5000 0.7124
8 Al 0.1580 0.1580 0.5000
9 Al 0.8420 0.8420 0.5000
10 Ru 0.2911 0.7089 0.0000
11 Ru 0.7089 0.2911 0.0000

# 5
A relaxed structure of YCrGa2Ag, computed with GGA-PBE.

Computed properties:
Magnetization ... 0.00 μB per formula unit
Calculated density ... 6.14 Mg/m³
ΔH_f (0 K) ... 0.15 eV/atom
Space group ... No. 123

Unit cell a=4.6203 b=4.6203 c=4.9197 alpha=90.00 beta=90.00 gamma=90.00
Sites, in units of the cell vectors:
1 Y 0.0000 0.0000 0.0000
2 Cr 0.5000 0.5000 0.5000
3 Ga 0.0000 0.5000 0.5000
4 Ga 0.5000 0.0000 0.5000
5 Ag 0.5000 0.5000 0.0000

# 6
A relaxed structure of AcIn8Pd2, computed with GGA-PBE.

Computed properties:
Magnetization ... 0.00 μB per formula unit
Calculated density ... 6.49 Mg/m³
ΔH_f (0 K) ... -0.10 eV/atom
Space group ... No. 123

Unit cell a=6.3481 b=6.3481 c=8.6283 alpha=90.00 beta=90.00 gamma=90.00
Sites, in units of the cell vectors:
1 Ac 0.0000 0.0000 0.0000
2 In 0.2542 0.2542 0.3044
3 In 0.2542 0.2542 0.6956
4 In 0.2542 0.7458 0.3044
5 In 0.2542 0.7458 0.6956
6 In 0.7458 0.2542 0.3044
7 In 0.7458 0.2542 0.6956
8 In 0.7458 0.7458 0.3044
9 In 0.7458 0.7458 0.6956
10 Pd 0.0000 0.5000 0.5000
11 Pd 0.5000 0.0000 0.5000

# 7
A relaxed structure of YZrCl2, computed with GGA-PBE.

Computed properties:
Magnetization ... 0.01 μB per formula unit
Calculated density ... 4.56 Mg/m³
Uncorrected formation energy ... -0.870 eV per atom
Relative energy among the computed polymorphs ... 460.2 meV per atom
Space group ... No. 12

Unit cell a=5.5660 b=5.5660 c=3.5065 alpha=105.08 beta=105.08 gamma=109.54
Sites, in units of the cell vectors:
1 Y 0.0000 0.0000 0.0000
2 Zr 0.5000 0.5000 0.0000
3 Cl 0.0000 0.5000 0.0000
4 Cl 0.5000 0.0000 0.0000

# 8
A relaxed structure of CeCdInAg, computed with GGA-PBE.

Computed properties:
Magnetization ... 0.79 μB per formula unit
Calculated density ... 8.32 Mg/m³
ΔH_f (0 K) ... -0.25 eV/atom
Space group ... No. 216

Unit cell a=5.1184 b=5.1184 c=5.1184 alpha=60.00 beta=60.00 gamma=60.00
Sites, in units of the cell vectors:
1 Ce 0.0000 0.0000 0.0000
2 Cd 0.7500 0.7500 0.7500
3 In 0.5000 0.5000 0.5000
4 Ag 0.2500 0.2500 0.2500

# 9
A relaxed structure of KSi, computed with GGA-PBE.

Computed properties:
Magnetization ... 0.00 μB per formula unit
Calculated density ... 1.76 Mg/m³
Uncorrected formation energy ... -0.073 eV per atom
Relative energy among the computed polymorphs ... 0.0 meV per atom
Space group ... No. 218

Unit cell a=12.6679 b=12.6679 c=12.6679 alpha=90.00 beta=90.00 gamma=90.00
Sites, in units of the cell vectors:
1 K 0.0663 0.1405 0.3370
2 K 0.0663 0.8595 0.6630
3 K 0.1405 0.3370 0.0663
4 K 0.1405 0.6630 0.9337
5 K 0.1630 0.3595 0.5663
6 K 0.1630 0.6405 0.4337
7 K 0.1662 0.1662 0.8338
8 K 0.1662 0.8338 0.1662
9 K 0.3338 0.3338 0.3338
10 K 0.3338 0.6662 0.6662
11 K 0.3370 0.0663 0.1405
12 K 0.3370 0.9337 0.8595
13 K 0.3595 0.4337 0.8370
14 K 0.3595 0.5663 0.1630
15 K 0.4337 0.1630 0.6405
16 K 0.4337 0.8370 0.3595
17 K 0.5663 0.1630 0.3595
18 K 0.5663 0.8370 0.6405
19 K 0.6405 0.4337 0.1630
20 K 0.6405 0.5663 0.8370
21 K 0.6630 0.0663 0.8595
22 K 0.6630 0.9337 0.1405
23 K 0.6662 0.3338 0.6662
24 K 0.6662 0.6662 0.3338
25 K 0.8338 0.1662 0.1662
26 K 0.8338 0.8338 0.8338
27 K 0.8370 0.3595 0.4337
28 K 0.8370 0.6405 0.5663
29 K 0.8595 0.3370 0.9337
30 K 0.8595 0.6630 0.0663
31 K 0.9337 0.1405 0.6630
32 K 0.9337 0.8595 0.3370
33 Si 0.0625 0.4264 0.3171
34 Si 0.0625 0.5736 0.6829
35 Si 0.0679 0.0679 0.0679
36 Si 0.0679 0.9321 0.9321
37 Si 0.0736 0.4375 0.8171
38 Si 0.0736 0.5625 0.1829
39 Si 0.1829 0.0736 0.5625
40 Si 0.1829 0.9264 0.4375
41 Si 0.3171 0.0625 0.4264
42 Si 0.3171 0.9375 0.5736
43 Si 0.4264 0.3171 0.0625
44 Si 0.4264 0.6829 0.9375
45 Si 0.4321 0.4321 0.5679
46 Si 0.4321 0.5679 0.4321
47 Si 0.4375 0.1829 0.9264
48 Si 0.4375 0.8171 0.0736
49 Si 0.5625 0.1829 0.0736
50 Si 0.5625 0.8171 0.9264
51 Si 0.5679 0.4321 0.4321
52 Si 0.5679 0.5679 0.5679
53 Si 0.5736 0.3171 0.9375
54 Si 0.5736 0.6829 0.0625
55 Si 0.6829 0.0625 0.5736
56 Si 0.6829 0.9375 0.4264
57 Si 0.8171 0.0736 0.4375
58 Si 0.8171 0.9264 0.5625
59 Si 0.9264 0.4375 0.1829
60 Si 0.9264 0.5625 0.8171
61 Si 0.9321 0.0679 0.9321
62 Si 0.9321 0.9321 0.0679
63 Si 0.9375 0.4264 0.6829
64 Si 0.9375 0.5736 0.3171

# 10
A relaxed structure of Li12Al6Cu, computed with GGA-PBE.

Computed properties:
Magnetization ... 0.00 μB per formula unit
Calculated density ... 1.59 Mg/m³
ΔH_f (0 K) ... -0.14 eV/atom
Space group ... No. 148

Unit cell a=6.8646 b=6.8646 c=6.8646 alpha=88.63 beta=88.63 gamma=88.63
Sites, in units of the cell vectors:
1 Li 0.0207 0.9244 0.3073
2 Li 0.0756 0.6927 0.9793
3 Li 0.1220 0.4626 0.3478
4 Li 0.3073 0.0207 0.9244
5 Li 0.3478 0.1220 0.4626
6 Li 0.4626 0.3478 0.1220
7 Li 0.5374 0.6522 0.8780
8 Li 0.6522 0.8780 0.5374
9 Li 0.6927 0.9793 0.0756
10 Li 0.8780 0.5374 0.6522
11 Li 0.9244 0.3073 0.0207
12 Li 0.9793 0.0756 0.6927
13 Al 0.2410 0.7553 0.6108
14 Al 0.2447 0.3892 0.7590
15 Al 0.3892 0.7590 0.2447
16 Al 0.6108 0.2410 0.7553
17 Al 0.7553 0.6108 0.2410
18 Al 0.7590 0.2447 0.3892
19 Cu 0.5000 0.5000 0.5000

# 11
A relaxed structure of TlCoRe, computed with GGA-PBE.

Computed properties:
Magnetization ... 3.07 μB per formula unit
Calculated density ... 12.74 Mg/m³
Relative energy among the computed polymorphs ... 1122.2 meV per atom
ΔH_f (0 K) ... 1.72 eV/atom
Space group ... No. 216

Unit cell a=4.3594 b=4.3594 c=4.3594 alpha=60.00 beta=60.00 gamma=60.00
Sites, in units of the cell vectors:
1 Tl 0.0000 0.0000 0.0000
2 Co 0.2500 0.2500 0.2500
3 Re 0.7500 0.7500 0.7500

# 12
A relaxed structure of CaMnCd2, computed with GGA-PBE.

Computed properties:
Magnetization ... 4.13 μB per formula unit
Calculated density ... 5.28 Mg/m³
ΔH_f (0 K) ... 0.23 eV/atom
Space group ... No. 166

Unit cell a=9.1313 b=9.1313 c=9.1313 alpha=22.84 beta=22.84 gamma=22.84
Sites, in units of the cell vectors:
1 Ca 0.0000 0.0000 0.0000
2 Mn 0.5000 0.5000 0.5000
3 Cd 0.2389 0.2389 0.2389
4 Cd 0.7611 0.7611 0.7611